Arrangement 1

First-principles (GGA-PBE) data for an optimized crystal structure of Tb2YCu2, as listed in the Alexandria database.

Computed properties:
Fermi-level density of states = 4.9 states/eV/f.u.

abc: 5.024 4.618 10.777
angles: 90.00 97.84 90.00
Space group P2_1/m (No. 11)
Unique sites:
Tb1 0.159 0.250 0.114
Tb2 0.253 0.750 0.506
Y1 0.305 0.250 0.761
Cu1 0.205 0.250 0.364
Cu2 0.377 0.750 0.990

---

Arrangement 2

First-principles (GGA-PBE) data for an optimized crystal structure of Tb2YCu2, as listed in the Alexandria database.

Computed properties:
Fermi-level density of states = 4.0 states/eV/f.u.

abc: 3.518 26.081 5.078
angles: 90.00 90.00 90.00
Space group Cmcm (No. 63)
Unique sites:
Tb1 0.000 0.047 0.250
Tb2 0.000 0.230 0.250
Y1 0.000 0.141 0.750
Cu1 0.000 0.360 0.750
Cu2 0.000 0.454 0.250

---

Most stable structure, least stable structure: arrangement 2, arrangement 1.

---

Arrangement 1

First-principles (GGA-PBE) data for an optimized crystal structure of TbYCu, as listed in the Alexandria database.

Computed properties:
Fermi-level density of states = 4.2 states/eV/f.u.

abc: 6.659 6.957 6.830
angles: 90.00 90.05 90.00
Space group P2_1/c (No. 14)
Unique sites:
Tb1 0.104 0.093 0.250
Y1 0.436 0.750 0.000
Cu1 0.290 0.039 0.750

---

Arrangement 2

First-principles (GGA-PBE) data for an optimized crystal structure of TbYCu, as listed in the Alexandria database.

Computed properties:
Fermi-level density of states = 4.0 states/eV/f.u.

abc: 12.910 3.479 6.987
angles: 90.00 105.73 90.00
Space group C2/m (No. 12)
Unique sites:
Tb1 0.140 0.000 0.071
Y1 0.137 0.000 0.568
Cu1 0.001 0.500 0.755

---

Arrangement 3

First-principles (GGA-PBE) data for an optimized crystal structure of TbYCu, as listed in the Alexandria database.

Computed properties:
Fermi-level density of states = 3.1 states/eV/f.u.

abc: 12.638 3.712 8.134
angles: 90.00 126.86 90.00
Space group C2/m (No. 12)
Unique sites:
Tb1 0.098 0.000 0.388
Y1 0.157 0.500 0.064
Cu1 0.121 0.500 0.674

---

Most stable structure, least stable structure: arrangement 3, arrangement 1.